VASP calculation (GGA-PBE) on a relaxed Zn2SiCl crystal.

Computed properties:
As for the distance to the lowest polymorph of the same formula: 24 meV per atom. As for the density of states at the Fermi level: 3.0 states/eV per cell. As for the uncorrected formation energy: -0.051 eV per atom. As for the total moment: 0.0 μB/cell.

a = 3.596 Å, b = 3.596 Å, c = 20.221 Å
α = 90.00°, β = 90.00°, γ = 120.00°
Fractional coordinates of all 12 atoms:
Zn (0.000, 0.000, 0.239)
Zn (0.000, 0.000, 0.761)
Zn (0.333, 0.667, 0.428)
Zn (0.333, 0.667, 0.905)
Zn (0.667, 0.333, 0.095)
Zn (0.667, 0.333, 0.572)
Si (0.000, 0.000, 0.500)
Si (0.333, 0.667, 0.167)
Si (0.667, 0.333, 0.833)
Cl (0.000, 0.000, 0.000)
Cl (0.333, 0.667, 0.667)
Cl (0.667, 0.333, 0.333)

VASP calculation (GGA-PBE) on a relaxed Zn2SiCl crystal.

Computed properties:
As for the distance to the lowest polymorph of the same formula: 140 meV per atom. As for the density of states at the Fermi level: 1.5 states/eV per cell. As for the uncorrected formation energy: 0.065 eV per atom. As for the total moment: 0.0 μB/cell.

a = 3.755 Å, b = 5.402 Å, c = 7.314 Å
α = 90.00°, β = 90.00°, γ = 90.00°
Fractional coordinates of all 8 atoms:
Zn (0.000, 0.000, 0.228)
Zn (0.000, 0.000, 0.772)
Zn (0.500, 0.500, 0.228)
Zn (0.500, 0.500, 0.772)
Si (0.000, 0.500, 0.000)
Si (0.500, 0.000, 0.000)
Cl (0.000, 0.500, 0.500)
Cl (0.500, 0.000, 0.500)

VASP calculation (GGA-PBE) on a relaxed ZnSiCl crystal.

Computed properties:
As for the distance to the lowest polymorph of the same formula: 207 meV per atom. As for the density of states at the Fermi level: 2.3 states/eV per cell. As for the uncorrected formation energy: 0.088 eV per atom. As for the total moment: 0.0 μB/cell.

a = 3.228 Å, b = 3.228 Å, c = 7.719 Å
α = 90.00°, β = 90.00°, γ = 120.00°
Fractional coordinates of all 3 atoms:
Zn (0.000, 0.000, 0.000)
Si (0.333, 0.667, 0.746)
Cl (0.667, 0.333, 0.203)

VASP calculation (GGA-PBE) on a relaxed Zn2SiCl crystal.

Computed properties:
As for the distance to the lowest polymorph of the same formula: 490 meV per atom. As for the density of states at the Fermi level: 18.1 states/eV per cell. As for the uncorrected formation energy: 0.415 eV per atom. As for the total moment: 0.0 μB/cell.

a = 6.667 Å, b = 6.667 Å, c = 6.667 Å
α = 90.00°, β = 90.00°, γ = 90.00°
Fractional coordinates of all 16 atoms:
Zn (0.250, 0.250, 0.250)
Zn (0.250, 0.250, 0.750)
Zn (0.250, 0.750, 0.250)
Zn (0.250, 0.750, 0.750)
Zn (0.750, 0.250, 0.250)
Zn (0.750, 0.250, 0.750)
Zn (0.750, 0.750, 0.250)
Zn (0.750, 0.750, 0.750)
Si (0.000, 0.000, 0.000)
Si (0.000, 0.500, 0.500)
Si (0.500, 0.000, 0.500)
Si (0.500, 0.500, 0.000)
Cl (0.000, 0.000, 0.500)
Cl (0.000, 0.500, 0.000)
Cl (0.500, 0.000, 0.000)
Cl (0.500, 0.500, 0.500)